# Na3LaBe

Na3LaBe after structural relaxation (PBEsol, the Alexandria database).

```
Na3LaBe
1.0
5.278 0.000 0.000
0.000 5.278 0.000
0.000 0.000 5.278
Na La Be
3 1 1
Cartesian
2.639 0.000 0.000 Na
0.000 2.639 0.000 Na
0.000 0.000 2.639 Na
2.639 2.639 2.639 La
0.000 0.000 0.000 Be
```

Values from the calculation:
Total magnetic moment (Bohr magnetons per cell): 1.0
Mass density (g/cm3): 2.45
VASP energy (eV per atom): -1.98
DFT formation energy (eV/f.u.): 3.6
Density of states at the Fermi level (states/eV per cell): 5.1
Space group: Pm-3m